[1]
Rb2CaNd2W4O16: optimized geometry, PBE with a Hubbard U.

Lattice parameters (Å, degrees): 6.751 7.758 8.350 77.14 70.27 73.45
Positions (direct):
Rb 0.000 0.000 0.000
Rb 0.399 0.325 0.263
Ca 0.280 0.502 0.646
Nd 0.452 0.824 0.290
Nd 0.920 0.500 0.030
W 0.511 0.662 0.836
W 0.525 0.152 0.840
W 0.873 0.162 0.465
W 0.874 0.663 0.467
O 0.168 0.051 0.407
O 0.176 0.654 0.409
O 0.219 0.655 0.886
O 0.221 0.282 0.878
O 0.458 0.934 0.814
O 0.534 0.052 0.065
O 0.548 0.677 0.566
O 0.552 0.257 0.577
O 0.553 0.646 0.064
O 0.573 0.383 0.867
O 0.810 0.922 0.445
O 0.826 0.072 0.729
O 0.836 0.687 0.243
O 0.842 0.630 0.726
O 0.843 0.272 0.235
O 0.936 0.404 0.481

Results
symmetry: P1 (1)
VASP energy: -181.06 eV/cell
excess energy over the best structure of this formula in the dataset: 0.000 eV per atom



[2]
Rb2CaNd2W4O16: optimized geometry, PBE with a Hubbard U.

Lattice parameters (Å, degrees): 8.090 8.090 7.662 118.21 118.21 88.62
Positions (direct):
Rb 0.000 0.000 0.000
Rb 0.729 0.271 0.500
Ca 0.471 0.529 0.500
Nd 0.022 0.978 0.500
Nd 0.568 0.432 0.000
W 0.093 0.519 0.557
W 0.094 0.523 0.053
W 0.477 0.906 0.947
W 0.481 0.907 0.443
O 0.058 0.587 0.830
O 0.076 0.265 0.857
O 0.087 0.266 0.494
O 0.151 0.467 0.303
O 0.183 0.817 0.301
O 0.183 0.817 0.699
O 0.396 0.590 0.210
O 0.410 0.604 0.790
O 0.413 0.942 0.170
O 0.482 0.160 0.016
O 0.484 0.172 0.630
O 0.533 0.849 0.697
O 0.734 0.913 0.506
O 0.735 0.924 0.143
O 0.828 0.516 0.370
O 0.840 0.518 0.984

Results
symmetry: C2 (5)
VASP energy: -180.62 eV/cell
excess energy over the best structure of this formula in the dataset: 0.018 eV per atom



Question: What is the excess energy over the best structure of this formula in the dataset in the second record?
Answer: 0.018 eV per atom